[1]
Computed, not measured: crystalline InO at its relaxed geometry at the PBE level of DFT.

abc: 3.5041 11.6195 4.8586
angles: 90.00 90.00 90.00
Space group Pmmn (No. 59, origin choice 2)
Unique sites:
In1 0.2500 0.0600 0.2128 x4
In2 0.2500 0.7500 0.2550 x2
O1 0.2500 0.2500 0.0000 x2
O2 0.2500 0.6053 0.5198 x4

final energy: -60.3 eV/cell
V: 33.0 Å³/f.u.
mass density: 6.588 g/cm3
formation energy from raw total energies: -2.4 eV/f.u.
crystal system: orthorhombic


[2]
Computed, not measured: crystalline LaRe2Ni at its relaxed geometry at the PBE level of DFT.

abc: 2.8847 2.8847 28.4838
angles: 90.00 90.00 120.00
Space group R3m (No. 160, hexagonal axes)
Unique sites:
La1 0.0000 0.0000 0.0000 x3
Re1 0.0000 0.0000 0.2340 x3
Re2 0.0000 0.0000 0.4945 x3
Ni1 0.0000 0.0000 0.7574 x3

final energy: -100.7 eV/cell
V: 68.4 Å³/f.u.
relative energy among the computed polymorphs: 415.0 meV per atom
mass density: 13.833 g/cm3
calculated formation energy: 508.3 meV/atom
crystal system: trigonal


[3]
Computed, not measured: crystalline ReMo4W5 at its relaxed geometry at the PBE level of DFT.

abc: 3.1702 3.1702 15.8321
angles: 90.00 90.00 90.00
Space group P4/mmm (No. 123)
Unique sites:
Re1 0.0000 0.0000 0.0000 x1
Mo1 0.0000 0.0000 0.1992 x2
Mo2 0.0000 0.0000 0.3997 x2
W1 0.5000 0.5000 0.1003 x2
W2 0.5000 0.5000 0.2996 x2
W3 0.5000 0.5000 0.5000 x1

final energy: -120.5 eV/cell
V: 159.1 Å³/f.u.
mass density: 15.541 g/cm3
calculated formation energy: -0.7 meV/atom
crystal system: tetragonal


Look up the final energy of the first one.
-60.3 eV/cell


Which of these has the highest V?
ReMo4W5